Entry 1:
A plane-wave DFT calculation with PBE-GGA was carried out for PaPN3 after structural relaxation.

As for the energy relative to the elements, uncorrected: -0.568 eV per atom.

The space group is R-3 (No. 148, hexagonal axes) and the conventional cell measures 5.5895, 5.5895 and 15.7527 Å, with angles of 90.00, 90.00 and 120.00 degrees. Symmetry generates all atoms from Pa at (0.0000, 0.0000, 0.1962), P at (0.0000, 0.0000, 0.4012) and N at (0.0251, 0.7255, 0.5734).

***

Entry 2:
A plane-wave DFT calculation with PBE-GGA was carried out for LiPaH6Rh after structural relaxation.

The uncorrected energy is -4.602 eV/atom.

The space group is P-6m2 (No. 187) and the conventional cell measures 4.3634, 4.3634 and 4.3326 Å, with angles of 90.00, 90.00 and 120.00 degrees. Symmetry generates all atoms from Li at (0.0000, 0.0000, 0.0000), Pa at (0.6667, 0.3333, 0.5000), H at (0.1692, 0.3384, 0.2901) and Rh at (0.3333, 0.6667, 0.0000).

***

Entry 3:
A plane-wave DFT calculation with PBE-GGA was carried out for Ga2Hg2As after structural relaxation.

The uncorrected energy is -2.151 eV/atom.

The space group is P4/mbm (No. 127) and the conventional cell measures 6.769, 6.769 and 5.137 Å, with angles of 90.00, 90.00 and 90.00 degrees. Symmetry generates all atoms from Ga at (0.137, 0.363, 0.000), Hg at (0.187, 0.687, 0.500) and As at (0.000, 0.000, 0.000).

***

Entry 4:
A plane-wave DFT calculation with PBE-GGA was carried out for Mg2Cd2Pd5 after structural relaxation.

The uncorrected energy is -3.699 eV/atom.

The space group is Ima2 (No. 46) and the conventional cell measures 16.405, 6.848 and 5.778 Å, with angles of 90.00, 90.00 and 90.00 degrees. Symmetry generates all atoms from Mg at (0.076, 0.063, 0.000), Cd at (0.000, 0.000, 0.500), Cd at (0.250, 0.554, 0.998), Pd at (0.110, 0.750, 0.249), Pd at (0.169, 0.249, 0.749) and Pd at (0.250, 0.551, 0.499).

***

Calculated values (states/eV/atom) of density of states at the Fermi level for the records, taken in order: 0.35 0.41 0.89 0.34.